No. 1
! GGA-PBE Zn2GeSe2, relaxed; values from VASP
! * ΔE to the lowest computed polymorph: 0.00 eV/f.u.
! * E_form (uncorrected): 0.042 eV per atom
&SYSTEM
  ibrav = 0, nat = 10, ntyp = 3
/
ATOMIC_SPECIES
Ge 72.64 Ge.upf
Zn 65.41 Zn.upf
Se 78.96 Se.upf
ATOMIC_POSITIONS angstrom
Ge 0.000 0.000 0.000
Ge 3.647 3.647 0.000
Zn 2.728 6.376 0.000
Zn 6.376 4.566 0.000
Zn 4.566 0.919 0.000
Zn 0.919 2.728 0.000
Se 1.381 5.028 1.822
Se 5.028 5.914 1.822
Se 5.914 2.267 1.822
Se 2.267 1.381 1.822
CELL_PARAMETERS angstrom
7.295 0.000 0.000
0.000 7.295 0.000
0.000 0.000 3.644

---

No. 2
! GGA-PBE Pu2CuSi4Ir3, relaxed; values from VASP
! * E_form (uncorrected): -0.709 eV per atom
&SYSTEM
  ibrav = 0, nat = 10, ntyp = 4
/
ATOMIC_SPECIES
Pu 244.00 Pu.upf
Cu 63.55 Cu.upf
Si 28.09 Si.upf
Ir 192.22 Ir.upf
ATOMIC_POSITIONS angstrom
Pu -1.875 -1.540 2.095
Pu -2.859 -7.102 0.887
Cu -3.806 -4.052 1.425
Si -2.878 0.538 -0.131
Si 0.000 0.000 0.000
Si -2.585 -5.052 3.286
Si -2.149 -3.590 -0.304
Ir -0.928 -4.590 1.556
Ir -3.034 -7.271 4.038
Ir -1.700 -1.371 -1.056
CELL_PARAMETERS angstrom
-2.830 1.470 2.647
-2.926 -0.394 -2.909
-1.857 -9.179 3.112

---

No. 3
! GGA-PBE TbEr5Sc, relaxed; values from VASP
! * ΔE to the lowest computed polymorph: 6.31 eV/f.u.
&SYSTEM
  ibrav = 0, nat = 7, ntyp = 3
/
ATOMIC_SPECIES
Tb 158.93 Tb.upf
Er 167.26 Er.upf
Sc 44.96 Sc.upf
ATOMIC_POSITIONS angstrom
Tb 5.482 0.000 0.000
Er -0.502 0.000 2.983
Er 4.308 3.944 0.000
Er 2.465 3.944 2.793
Er 2.508 1.433 0.000
Er 2.508 6.454 0.000
Sc 1.211 3.944 0.000
CELL_PARAMETERS angstrom
5.933 0.000 0.000
0.000 7.887 0.000
-2.966 -3.944 5.776

---

No. 4
! GGA-PBE Dy5Tl4Ru, relaxed; values from VASP
! * E_tot: -4.54 eV per atom
&SYSTEM
  ibrav = 0, nat = 10, ntyp = 3
/
ATOMIC_SPECIES
Dy 162.50 Dy.upf
Tl 204.38 Tl.upf
Ru 101.07 Ru.upf
ATOMIC_POSITIONS angstrom
Dy 1.742 1.742 1.654
Dy 1.742 1.742 6.199
Dy 1.742 1.742 10.595
Dy 1.742 1.742 14.992
Dy 1.742 1.742 19.536
Tl 0.000 0.000 4.001
Tl 0.000 0.000 8.398
Tl 0.000 0.000 12.793
Tl 0.000 0.000 17.189
Ru 0.000 0.000 0.000
CELL_PARAMETERS angstrom
3.484 0.000 0.000
0.000 3.484 0.000
0.000 0.000 21.191

---

No. 5
! GGA-PBE TbHoSe3, relaxed; values from VASP
! * ΔE to the lowest computed polymorph: 0.00 eV/f.u.
! * E_form (uncorrected): -1.853 eV per atom
&SYSTEM
  ibrav = 0, nat = 10, ntyp = 3
/
ATOMIC_SPECIES
Tb 158.93 Tb.upf
Ho 164.93 Ho.upf
Se 78.96 Se.upf
ATOMIC_POSITIONS angstrom
Tb -1.374 8.401 5.920
Tb -5.336 4.179 4.835
Ho -6.308 8.076 7.717
Ho -0.403 4.503 3.038
Se -4.138 9.091 6.090
Se -1.342 6.083 7.585
Se -1.332 7.162 3.349
Se -2.572 3.488 4.665
Se -5.369 6.496 3.170
Se -5.379 5.417 7.406
CELL_PARAMETERS angstrom
-5.319 4.808 0.712
-2.985 1.140 6.458
1.593 6.631 3.585

---

No. 6
! GGA-PBE MnIn2H, relaxed; values from VASP
! * ΔE to the lowest computed polymorph: 0.00 eV/f.u.
&SYSTEM
  ibrav = 0, nat = 8, ntyp = 3
/
ATOMIC_SPECIES
H 1.01 H.upf
Mn 54.94 Mn.upf
In 114.82 In.upf
ATOMIC_POSITIONS angstrom
H 0.062 -4.203 2.143
H 1.360 -5.146 5.451
Mn 0.000 0.000 0.000
Mn -2.723 -6.268 3.368
In -2.089 -4.098 1.695
In 1.439 -3.710 3.786
In -0.783 -5.620 5.298
In -1.293 -9.399 6.859
CELL_PARAMETERS angstrom
-4.021 -5.325 0.060
4.144 -3.081 4.226
-1.486 -3.007 4.533